Entry 1:
# SbRhO3

SbRhO3 after structural relaxation (PBE, the Alexandria database).

```
data_SbRhO3
_chemical_formula_sum 'Sb3 Rh3 O9'
_symmetry_space_group_name_H-M 'R 3 m'
_symmetry_Int_Tables_number 160
_symmetry_space_group_name_Hall 'R 3 -2"'
_cell_length_a 6.2794
_cell_length_b 6.2794
_cell_length_c 6.3240
_cell_angle_alpha 90.00
_cell_angle_beta 90.00
_cell_angle_gamma 120.00
loop_
_atom_site_label
_atom_site_type_symbol
_atom_site_fract_x
_atom_site_fract_y
_atom_site_fract_z
Sb1 Sb 0.0000 0.0000 0.0000
Rh1 Rh 0.0000 0.0000 0.4627
O1 O 0.1987 0.3974 0.9202
```

Values from the calculation:
Total energy, eV per cell: -85.12
Total magnetization, μB per atom: 0.00

=====

Entry 2:
# Sb3RhO

Sb3RhO after structural relaxation (PBE, the Alexandria database).

```
data_Sb3RhO
_chemical_formula_sum 'Sb3 Rh1 O1'
_symmetry_space_group_name_H-M 'P m -3 m'
_symmetry_Int_Tables_number 221
_symmetry_space_group_name_Hall '-P 4 2 3'
_cell_length_a 5.108
_cell_length_b 5.108
_cell_length_c 5.108
_cell_angle_alpha 90.00
_cell_angle_beta 90.00
_cell_angle_gamma 90.00
loop_
_atom_site_label
_atom_site_type_symbol
_atom_site_fract_x
_atom_site_fract_y
_atom_site_fract_z
Sb1 Sb 0.000 0.000 0.500
Rh1 Rh 0.000 0.000 0.000
O1 O 0.500 0.500 0.500
```

Values from the calculation:
Total energy, eV per cell: -21.36
Total magnetization, μB per atom: 0.39

=====

So what do the calculations give for N(E_F)? Going down the list: 0.043, 0.626 states/eV/atom.